Material: YNb3I
Method: DFT, GGA-PBE
State: relaxed

Cell and atoms, written as POSCAR:
```
YNb3I
1.0
5.084 0.000 0.000
0.000 5.084 0.000
0.000 0.000 5.084
Y Nb I
1 3 1
direct
0.000 0.000 0.000 Y
0.000 0.500 0.000 Nb
0.500 0.000 0.000 Nb
0.000 0.000 0.500 Nb
0.500 0.500 0.500 I
```

E_form (uncorrected) in eV/atom: 2.073